a | First-principles (GGA-PBE) data for RePt after structural relaxation, as listed in Alexandria.

## Properties
DOS(E_F) ... 2.9 states/eV/cell

Cell: 2.7781 2.7781 7.9076 Å, 90.00 90.00 90.00°
Closest atoms and distances in Å follow each position.
Positions (direct):
Re 0.2500 0.2500 0.6162  8 Re 2.69-2.78, 4 Pt 2.78
Re 0.7500 0.7500 0.3838  8 Re 2.69-2.78, 4 Pt 2.78
Pt 0.2500 0.2500 0.1351  8 Pt 2.78-2.90, 4 Re 2.78
Pt 0.7500 0.7500 0.8649  8 Pt 2.78-2.90, 4 Re 2.78

b | First-principles (GGA-PBE) data for RePt after structural relaxation, as listed in Alexandria.

## Properties
DOS(E_F) ... 4.0 states/eV/cell

Cell: 4.4459 4.4459 4.4459 Å, 60.00 60.00 60.00°
Closest atoms and distances in Å follow each position.
Positions (direct):
Re 0.5000 0.5000 0.5000  4 Re 2.72, 4 Pt 2.72
Re 0.7500 0.7500 0.7500  4 Re 2.72, 4 Pt 2.72
Pt 0.2500 0.2500 0.2500  4 Pt 2.72, 4 Re 2.72
Pt 0.0000 0.0000 0.0000  4 Re 2.72, 4 Pt 2.72

c | First-principles (GGA-PBE) data for RePt after structural relaxation, as listed in Alexandria.

## Properties
DOS(E_F) ... 8.4 states/eV/cell

Cell: 2.7207 7.5392 9.2300 Å, 90.00 90.00 90.00°
Closest atoms and distances in Å follow each position.
Positions (direct):
Re 0.5000 0.3130 0.5372  5 Pt 2.64-2.83, 5 Re 2.72-2.82
Re 0.5000 0.6870 0.5372  5 Pt 2.64-2.83, 5 Re 2.72-2.82
Re 0.0000 0.5000 0.0450  4 Pt 2.66-2.68, 6 Re 2.72
Re 0.5000 0.8130 0.0372  5 Pt 2.64-2.83, 5 Re 2.72-2.82
Re 0.0000 0.0000 0.5450  4 Pt 2.66-2.68, 6 Re 2.72
Re 0.5000 0.1870 0.0372  5 Pt 2.64-2.83, 5 Re 2.72-2.82
Pt 0.0000 0.1738 0.2938  5 Pt 2.62-2.81, 5 Re 2.66-2.83
Pt 0.5000 0.5000 0.2949  4 Re 2.64-2.68, 6 Pt 2.72-2.81
Pt 0.0000 0.6738 0.7938  5 Pt 2.62-2.81, 5 Re 2.66-2.83
Pt 0.0000 0.8262 0.2938  5 Pt 2.62-2.81, 5 Re 2.66-2.83
Pt 0.0000 0.3262 0.7938  5 Pt 2.62-2.81, 5 Re 2.66-2.83
Pt 0.5000 0.0000 0.7949  4 Re 2.64-2.68, 6 Pt 2.72-2.81

Tell me which of them is the most stable. Sure, it is a.

a | First-principles (GGA-PBE) data for RePt after structural relaxation, as listed in Alexandria.

## Properties
DOS(E_F) ... 3.6 states/eV/cell

Cell: 4.0829 4.0829 4.9582 Å, 90.00 90.00 120.00°
Closest atoms and distances in Å follow each position.
Positions (direct):
Pt 0.3333 0.6667 0.2500  6 Re 2.66
Pt 0.6667 0.3333 0.7500  6 Re 2.66
Re 0.0000 0.0000 0.5000  2 Re 2.48, 6 Pt 2.66
Re 0.0000 0.0000 0.0000  2 Re 2.48, 6 Pt 2.66

b | First-principles (GGA-PBE) data for RePt after structural relaxation, as listed in Alexandria.

## Properties
DOS(E_F) ... 3.9 states/eV/cell

Cell: 3.3154 3.3154 5.6213 Å, 90.00 90.00 90.00°
Closest atoms and distances in Å follow each position.
Positions (direct):
Pt 0.5000 0.5000 0.2496  4 Pt 2.73, 6 Re 2.75-2.84
Pt 0.0000 0.0000 0.0004  4 Pt 2.73, 6 Re 2.75-2.84
Re 0.0000 0.0000 0.5062  4 Re 2.70, 6 Pt 2.75-2.84
Re 0.5000 0.5000 0.7438  4 Re 2.70, 6 Pt 2.75-2.84

Tell me which of them is the most stable. Sure, it is b.